Material: TcBrCl2
Method: DFT, PBE
State: optimized geometry

Properties
Its total moment is 0.0 μB per formula unit. As for the energy relative to the lowest polymorph listed for this composition: 377 meV/atom. The value obtained for the uncorrected formation energy is -0.05 eV per atom.

a = 3.261 Å, b = 3.261 Å, c = 29.534 Å
α = 90.00°, β = 90.00°, γ = 120.00°
Sites, in units of the cell vectors:
Tc: 0.000 0.000 0.000
Tc: 0.333 0.667 0.667
Tc: 0.667 0.333 0.333
Br: 0.000 0.000 0.500
Br: 0.333 0.667 0.167
Br: 0.667 0.333 0.833
Cl: 0.000 0.000 0.280
Cl: 0.000 0.000 0.720
Cl: 0.333 0.667 0.386
Cl: 0.333 0.667 0.947
Cl: 0.667 0.333 0.053
Cl: 0.667 0.333 0.614

---

Material: TcBrCl2
Method: DFT, PBE
State: optimized geometry

Properties
Its total moment is 0.0 μB per formula unit. As for the energy relative to the lowest polymorph listed for this composition: 648 meV/atom. The value obtained for the uncorrected formation energy is 0.22 eV per atom.

a = 3.044 Å, b = 3.044 Å, c = 9.773 Å
α = 90.00°, β = 90.00°, γ = 90.00°
Sites, in units of the cell vectors:
Tc: 0.000 0.000 0.000
Br: 0.000 0.000 0.500
Cl: 0.500 0.500 0.148
Cl: 0.500 0.500 0.852

---

Material: TcBrCl2
Method: DFT, PBE
State: optimized geometry

Properties
Its total moment is 2.0 μB per formula unit. As for the energy relative to the lowest polymorph listed for this composition: 164 meV/atom. The value obtained for the uncorrected formation energy is -0.26 eV per atom.

a = 12.947 Å, b = 3.283 Å, c = 6.747 Å
α = 90.00°, β = 119.02°, γ = 90.00°
Sites, in units of the cell vectors:
Tc: 0.000 0.000 0.000
Tc: 0.500 0.500 0.000
Br: 0.152 0.500 0.294
Br: 0.652 0.000 0.294
Cl: 0.001 0.500 0.735
Cl: 0.361 0.000 0.996
Cl: 0.501 0.000 0.735
Cl: 0.861 0.500 0.996

---

Material: Tc2BrCl
Method: DFT, PBE
State: optimized geometry

Properties
Its total moment is 0.0 μB per formula unit. As for the energy relative to the lowest polymorph listed for this composition: 967 meV/atom. The value obtained for the uncorrected formation energy is 0.95 eV per atom.

a = 5.061 Å, b = 5.061 Å, c = 5.194 Å
α = 90.00°, β = 90.00°, γ = 90.00°
Sites, in units of the cell vectors:
Tc: 0.000 0.000 0.000
Tc: 0.000 0.500 0.250
Tc: 0.500 0.000 0.750
Tc: 0.500 0.500 0.500
Br: 0.000 0.000 0.500
Br: 0.500 0.500 0.000
Cl: 0.000 0.500 0.750
Cl: 0.500 0.000 0.250

---

Material: TcBrCl2
Method: DFT, PBE
State: optimized geometry

Properties
Its total moment is 3.5 μB per formula unit. As for the energy relative to the lowest polymorph listed for this composition: 317 meV/atom. The value obtained for the uncorrected formation energy is -0.11 eV per atom.

a = 3.204 Å, b = 6.146 Å, c = 11.774 Å
α = 90.00°, β = 90.00°, γ = 90.00°
Sites, in units of the cell vectors:
Tc: 0.000 0.000 0.000
Tc: 0.500 0.500 0.500
Br: 0.000 0.000 0.500
Br: 0.500 0.500 0.000
Cl: 0.000 0.500 0.348
Cl: 0.000 0.500 0.652
Cl: 0.500 0.000 0.152
Cl: 0.500 0.000 0.848

---

Material: TcBr3Cl
Method: DFT, PBE
State: optimized geometry

Properties
Its total moment is 2.0 μB per formula unit. As for the energy relative to the lowest polymorph listed for this composition: 599 meV/atom. The value obtained for the uncorrected formation energy is 0.16 eV per atom.

a = 5.074 Å, b = 5.074 Å, c = 5.074 Å
α = 90.00°, β = 90.00°, γ = 90.00°
Sites, in units of the cell vectors:
Tc: 0.000 0.000 0.000
Br: 0.000 0.000 0.500
Br: 0.000 0.500 0.000
Br: 0.500 0.000 0.000
Cl: 0.500 0.500 0.500

---

Material: Tc4BrCl
Method: DFT, PBE
State: optimized geometry

Properties
Its total moment is 0.0 μB per formula unit. The value obtained for the uncorrected formation energy is 1.22 eV per atom.

a = 5.280 Å, b = 5.280 Å, c = 5.280 Å
α = 60.00°, β = 60.00°, γ = 60.00°
Sites, in units of the cell vectors:
Tc: 0.125 0.125 0.125
Tc: 0.125 0.125 0.625
Tc: 0.125 0.625 0.125
Tc: 0.625 0.125 0.125
Br: 0.750 0.750 0.750
Cl: 0.500 0.500 0.500

---

Material: Tc2BrCl
Method: DFT, PBE
State: optimized geometry

Properties
Its total moment is 0.0 μB per formula unit. As for the energy relative to the lowest polymorph listed for this composition: 0 meV/atom. The value obtained for the uncorrected formation energy is -0.02 eV per atom.

a = 2.978 Å, b = 3.190 Å, c = 8.874 Å
α = 90.00°, β = 90.00°, γ = 90.00°
Sites, in units of the cell vectors:
Tc: 0.000 0.000 0.000
Tc: 0.500 0.500 0.166
Br: 0.000 0.500 0.397
Cl: 0.500 0.000 0.788

---

Material: TcBr2Cl2
Method: DFT, PBE
State: optimized geometry

Properties
Its total moment is 2.6 μB per formula unit. The value obtained for the uncorrected formation energy is -0.47 eV per atom.

a = 8.502 Å, b = 9.891 Å, c = 3.631 Å
α = 90.00°, β = 90.00°, γ = 90.00°
Sites, in units of the cell vectors:
Tc: 0.000 0.000 0.000
Tc: 0.500 0.500 0.000
Br: 0.000 0.184 0.500
Br: 0.000 0.816 0.500
Br: 0.500 0.316 0.500
Br: 0.500 0.684 0.500
Cl: 0.229 0.500 0.000
Cl: 0.271 0.000 0.000
Cl: 0.729 0.000 0.000
Cl: 0.771 0.500 0.000

---

Material: TcBrCl2
Method: DFT, PBE
State: optimized geometry

Properties
Its total moment is 0.0 μB per formula unit. As for the energy relative to the lowest polymorph listed for this composition: 587 meV/atom. The value obtained for the uncorrected formation energy is 0.16 eV per atom.

a = 7.007 Å, b = 7.007 Å, c = 8.942 Å
α = 90.00°, β = 90.00°, γ = 90.00°
Sites, in units of the cell vectors:
Tc: 0.000 0.000 0.000
Tc: 0.000 0.500 0.250
Tc: 0.500 0.000 0.750
Tc: 0.500 0.500 0.500
Br: 0.000 0.000 0.500
Br: 0.000 0.500 0.750
Br: 0.500 0.000 0.250
Br: 0.500 0.500 0.000
Cl: 0.126 0.250 0.125
Cl: 0.250 0.626 0.375
Cl: 0.250 0.874 0.875
Cl: 0.374 0.250 0.625
Cl: 0.626 0.750 0.625
Cl: 0.750 0.126 0.875
Cl: 0.750 0.374 0.375
Cl: 0.874 0.750 0.125

---

Material: Tc2BrCl
Method: DFT, PBE
State: optimized geometry

Properties
Its total moment is 0.0 μB per formula unit. As for the energy relative to the lowest polymorph listed for this composition: 769 meV/atom. The value obtained for the uncorrected formation energy is 0.75 eV per atom.

a = 8.302 Å, b = 3.019 Å, c = 5.454 Å
α = 90.00°, β = 103.48°, γ = 90.00°
Sites, in units of the cell vectors:
Tc: 0.247 0.000 0.299
Tc: 0.253 0.500 0.701
Tc: 0.747 0.500 0.299
Tc: 0.753 0.000 0.701
Br: 0.000 0.500 0.000
Br: 0.500 0.000 0.000
Cl: 0.000 0.000 0.500
Cl: 0.500 0.500 0.500

---

Material: TcBrCl2
Method: DFT, PBE
State: optimized geometry

Properties
Its total moment is 4.0 μB per formula unit. As for the energy relative to the lowest polymorph listed for this composition: 625 meV/atom. The value obtained for the uncorrected formation energy is 0.20 eV per atom.

a = 3.391 Å, b = 7.292 Å, c = 9.249 Å
α = 90.00°, β = 90.00°, γ = 90.00°
Sites, in units of the cell vectors:
Tc: 0.000 0.000 0.000
Tc: 0.500 0.500 0.000
Br: 0.000 0.500 0.201
Br: 0.500 0.000 0.201
Cl: 0.000 0.000 0.498
Cl: 0.000 0.500 0.816
Cl: 0.500 0.000 0.816
Cl: 0.500 0.500 0.498

---

Material: Tc2Br8Cl
Method: DFT, PBE
State: optimized geometry

Properties
Its total moment is 5.0 μB per formula unit. The value obtained for the uncorrected formation energy is -0.31 eV per atom.

a = 7.270 Å, b = 7.270 Å, c = 7.894 Å
α = 99.53°, β = 99.53°, γ = 75.83°
Sites, in units of the cell vectors:
Tc: 0.084 0.084 0.236
Tc: 0.916 0.916 0.764
Br: 0.143 0.143 0.947
Br: 0.208 0.660 0.776
Br: 0.288 0.288 0.392
Br: 0.340 0.792 0.224
Br: 0.660 0.208 0.776
Br: 0.712 0.712 0.608
Br: 0.792 0.340 0.224
Br: 0.857 0.857 0.053
Cl: 0.000 0.000 0.500

---

Material: Tc2BrCl
Method: DFT, PBE
State: optimized geometry

Properties
Its total moment is 0.0 μB per formula unit. As for the energy relative to the lowest polymorph listed for this composition: 1016 meV/atom. The value obtained for the uncorrected formation energy is 1.00 eV per atom.

a = 5.359 Å, b = 5.359 Å, c = 11.391 Å
α = 90.00°, β = 90.00°, γ = 90.00°
Sites, in units of the cell vectors:
Tc: 0.198 0.250 0.125
Tc: 0.250 0.698 0.375
Tc: 0.250 0.802 0.875
Tc: 0.302 0.250 0.625
Tc: 0.698 0.750 0.625
Tc: 0.750 0.198 0.875
Tc: 0.750 0.302 0.375
Tc: 0.802 0.750 0.125
Br: 0.000 0.000 0.500
Br: 0.000 0.500 0.750
Br: 0.500 0.000 0.250
Br: 0.500 0.500 0.000
Cl: 0.000 0.000 0.000
Cl: 0.000 0.500 0.250
Cl: 0.500 0.000 0.750
Cl: 0.500 0.500 0.500